1.
The following is a DFT calculation (GGA-PBE) of Ac3NpBe2N6 after structural relaxation.

The value obtained for the uncorrected formation energy is -12.62 eV per formula unit.

The space group is P-3m1 (No. 164) and the conventional cell measures 5.7861, 5.7861 and 6.8022 Å, with angles of 90.00, 90.00 and 120.00 degrees. Symmetry generates all atoms from Ac at (0.0000, 0.0000, 0.0000), Ac at (0.3333, 0.6667, 0.6632), Np at (0.0000, 0.0000, 0.5000), Be at (0.3333, 0.6667, 0.2492) and N at (0.1726, 0.3451, 0.3053).

2.
The following is a DFT calculation (GGA-PBE) of SrZrOs2 after structural relaxation.

The formation enthalpy at 0 K comes out at 1.2 eV/f.u. The energy above the most stable polymorph in this dataset comes out at 4 meV per atom.

The space group is P4/mmm (No. 123) and the conventional cell measures 3.3464, 3.3464 and 7.3539 Å, with angles of 90.00, 90.00 and 90.00 degrees. Symmetry generates all atoms from Sr at (0.0000, 0.0000, 0.0000), Zr at (0.0000, 0.0000, 0.5000) and Os at (0.5000, 0.5000, 0.2988).

3.
The following is a DFT calculation (GGA-PBE) of RbTi2P after structural relaxation.

The formation enthalpy at 0 K comes out at 1.8 eV/f.u.

The space group is I4_1/amd (No. 141, origin choice 2) and the conventional cell measures 4.9696, 4.9696 and 17.7655 Å, with angles of 90.00, 90.00 and 90.00 degrees. Symmetry generates all atoms from Rb at (0.0000, 0.2500, 0.3750), Ti at (0.0000, 0.0000, 0.0000) and P at (0.0000, 0.2500, 0.8750).

4.
The following is a DFT calculation (GGA-PBE) of Mg6IrRh2 after structural relaxation.

The formation enthalpy at 0 K comes out at -1.7 eV/f.u. The energy above the most stable polymorph in this dataset comes out at 162 meV per atom.

The space group is C2/m (No. 12) and the conventional cell measures 13.8863, 6.1936 and 4.3948 Å, with angles of 90.00, 108.34 and 90.00 degrees. Symmetry generates all atoms from Mg at (0.0000, 0.2480, 0.0000), Mg at (0.1659, 0.2490, 0.6661), Ir at (0.0000, 0.0000, 0.5000) and Rh at (0.1671, 0.5000, 0.1671).

no.,magnetic moment (μB per formula unit)
1,1.4
2,0.0
3,0.0
4,0.0